[1]
A plane-wave DFT calculation with GGA-PBE was carried out for crystalline CsCaSb at its relaxed geometry.

```
data_CsCaSb
_chemical_formula_sum 'Cs4 Ca4 Sb4'
_space_group_name_H-M_alt 'P n m a'
_space_group_IT_number 62
_space_group_name_Hall '-P 2ac 2n'
_cell_length_a 9.074
_cell_length_b 5.507
_cell_length_c 13.025
_cell_angle_alpha 90.00
_cell_angle_beta 90.00
_cell_angle_gamma 90.00
loop_
_atom_site_label
_atom_site_fract_x
_atom_site_fract_y
_atom_site_fract_z
Cs1 0.120 0.250 0.121
Ca1 0.045 0.750 0.410
Sb1 0.198 0.250 0.421
```


[2]
A plane-wave DFT calculation with GGA-PBE was carried out for crystalline CsCaSb at its relaxed geometry.

```
data_CsCaSb
_chemical_formula_sum 'Cs2 Ca2 Sb2'
_space_group_name_H-M_alt 'I 4 m m'
_space_group_IT_number 107
_space_group_name_Hall 'I 4 -2'
_cell_length_a 4.428
_cell_length_b 4.428
_cell_length_c 13.879
_cell_angle_alpha 90.00
_cell_angle_beta 90.00
_cell_angle_gamma 90.00
loop_
_atom_site_label
_atom_site_fract_x
_atom_site_fract_y
_atom_site_fract_z
Cs1 0.000 0.000 0.000
Ca1 0.000 0.000 0.251
Sb1 0.000 0.000 0.714
```


[3]
A plane-wave DFT calculation with GGA-PBE was carried out for crystalline CsCaSb at its relaxed geometry.

```
data_CsCaSb
_chemical_formula_sum 'Cs2 Ca2 Sb2'
_space_group_name_H-M_alt 'P 1'
_space_group_IT_number 1
_space_group_name_Hall 'P 1'
_cell_length_a 4.728
_cell_length_b 7.766
_cell_length_c 8.287
_cell_angle_alpha 87.61
_cell_angle_beta 73.46
_cell_angle_gamma 72.34
loop_
_atom_site_label
_atom_site_fract_x
_atom_site_fract_y
_atom_site_fract_z
Cs1 0.000 0.000 0.000
Cs2 0.166 0.500 0.172
Ca1 0.516 0.349 0.620
Ca2 0.797 0.843 0.563
Sb1 0.240 0.073 0.447
Sb2 0.820 0.548 0.816
```


[4]
A plane-wave DFT calculation with GGA-PBE was carried out for crystalline Cs2CaSb2 at its relaxed geometry.

```
data_Cs2CaSb2
_chemical_formula_sum 'Cs4 Ca2 Sb4'
_space_group_name_H-M_alt 'P 4/m b m'
_space_group_IT_number 127
_space_group_name_Hall '-P 4 2ab'
_cell_length_a 8.279
_cell_length_b 8.279
_cell_length_c 6.363
_cell_angle_alpha 90.00
_cell_angle_beta 90.00
_cell_angle_gamma 90.00
loop_
_atom_site_label
_atom_site_fract_x
_atom_site_fract_y
_atom_site_fract_z
Cs1 0.164 0.336 0.000
Ca1 0.000 0.000 0.500
Sb1 0.126 0.626 0.500
```


Calculated total energy, record by record: -2.922; -2.864; -2.891; -2.876 eV/atom
Total moment, record by record: 0.00; 0.00; 0.00; 0.00 μB per formula unit